First-principles (PBE-GGA) data for Rb4Tb3InS8 after structural relaxation, as listed in Alexandria.

Calculated values
Formation energy without anion corrections, meV/atom: -1585

a b c (Å): 8.139 9.019 8.140
angles (deg): 116.83 119.99 90.00
Fractional positions:
Rb  0.500  0.000  0.000
Rb  0.500  0.000  0.500
Rb  0.000  0.000  0.000
Rb  0.000  0.000  0.500
Tb  0.500  0.500  0.000
Tb  0.500  0.500  0.500
Tb  0.000  0.500  0.500
In  0.000  0.500  0.000
S  0.228  0.692  0.964
S  0.228  0.692  0.456
S  0.269  0.307  0.538
S  0.736  0.692  0.964
S  0.264  0.308  0.036
S  0.731  0.693  0.462
S  0.772  0.308  0.544
S  0.772  0.308  0.036

First-principles (PBE-GGA) data for CaBi2Cl after structural relaxation, as listed in Alexandria.

Calculated values
N(E_F), states/eV per atom: 0.553
Formation energy without anion corrections, meV/atom: -752

a b c (Å): 4.447 4.447 13.508
angles (deg): 80.53 80.53 90.00
Fractional positions:
Ca  0.000  0.000  0.000
Ca  0.750  0.250  0.500
Bi  0.647  0.125  0.250
Bi  0.103  0.625  0.250
Bi  0.375  0.353  0.750
Bi  0.875  0.897  0.750
Cl  0.500  0.500  0.000
Cl  0.250  0.750  0.500

First-principles (PBE-GGA) data for CeNdTmTh after structural relaxation, as listed in Alexandria.

Calculated values
N(E_F), states/eV per atom: 1.921
DFT formation energy, eV/atom: 0.0420

a b c (Å): 3.555 3.555 11.667
angles (deg): 90.00 98.77 120.00
Fractional positions:
Ce  0.303  0.550  0.869
Nd  0.969  0.382  0.366
Tm  0.475  0.135  0.625
Th  0.131  0.963  0.110

Total DFT energy (no corrections), record by record: -4.9299; -3.6550; -5.6062 eV/atom